[1]
Entry from the Alexandria database: a geometry-optimized SrCoAgF6 structure (PBE+U).

Calculated values
E (eV/cell): -83.7
Fermi-level density of states (states/eV/cell): 0.000
Total magnetic moment (μB per formula unit): 0.1

a b c (Å): 5.192 5.192 10.353
angles (deg): 90.00 90.00 90.00
Atoms (fractional coordinates):
1 Sr 0.000 0.000 0.000
2 Sr 0.500 0.500 0.500
3 Co 0.000 0.000 0.663
4 Co 0.500 0.500 0.163
5 Ag 0.000 0.000 0.325
6 Ag 0.500 0.500 0.825
7 F 0.174 0.174 0.530
8 F 0.175 0.175 0.796
9 F 0.244 0.244 0.161
10 F 0.256 0.744 0.661
11 F 0.325 0.675 0.296
12 F 0.326 0.674 0.030
13 F 0.674 0.326 0.030
14 F 0.675 0.325 0.296
15 F 0.744 0.256 0.661
16 F 0.756 0.756 0.161
17 F 0.825 0.825 0.796
18 F 0.826 0.826 0.530

[2]
Entry from the Alexandria database: a geometry-optimized Co2TcAgF structure (PBE+U).

Calculated values
E (eV/cell): -21.9
Fermi-level density of states (states/eV/cell): 4.100
Total magnetic moment (μB per formula unit): 7.5

a b c (Å): 4.050 4.050 4.683
angles (deg): 90.00 90.00 90.00
Atoms (fractional coordinates):
1 Co 0.000 0.500 0.000
2 Co 0.500 0.000 0.000
3 Tc 0.000 0.000 0.500
4 Ag 0.500 0.500 0.500
5 F 0.500 0.500 0.000

[3]
Entry from the Alexandria database: a geometry-optimized CoTcAgF6 structure (PBE+U).

Calculated values
E (eV/cell): -89.8
Fermi-level density of states (states/eV/cell): 8.776
Total magnetic moment (μB per formula unit): 5.0

a b c (Å): 5.559 5.559 10.160
angles (deg): 90.00 90.00 120.00
Atoms (fractional coordinates):
1 Co 0.333 0.667 0.250
2 Co 0.667 0.333 0.750
3 Tc 0.333 0.667 0.750
4 Tc 0.667 0.333 0.250
5 Ag 0.000 0.000 0.000
6 Ag 0.000 0.000 0.500
7 F 0.003 0.362 0.647
8 F 0.003 0.641 0.853
9 F 0.359 0.362 0.853
10 F 0.359 0.997 0.647
11 F 0.362 0.003 0.147
12 F 0.362 0.359 0.353
13 F 0.638 0.641 0.647
14 F 0.638 0.997 0.853
15 F 0.641 0.003 0.353
16 F 0.641 0.638 0.147
17 F 0.997 0.359 0.147
18 F 0.997 0.638 0.353